Entry 1:
This record from the Alexandria database describes an optimized crystal structure of CuRePOs2. The functional is PBE.

Cell and atoms, written as extended XYZ:
```
5
Lattice="-3.669 2.727 -1.391 -2.734 -2.351 2.603 0.861 3.002 3.617" Properties=species:S:1:pos:R:3 pbc="T T T"
Re 0.000 0.000 0.000
Os -1.835 1.364 -0.695
Os 0.430 1.501 1.808
Cu -2.771 1.689 2.414
P -1.367 -1.176 1.301
```

Output
DOS(E_F) = 1.47 states/eV per atom
space-group type = No. 123
E = -6.970 eV/atom
DFT formation energy = 1.913 eV per atom
total magnetic moment = 0.80 μB/f.u.

***

Entry 2:
This record from the Alexandria database describes an optimized crystal structure of CuP2OsS. The functional is PBE.

Cell and atoms, written as extended XYZ:
```
5
Lattice="4.333 0.000 0.000 0.000 4.333 0.000 0.000 0.000 4.369" Properties=species:S:1:pos:R:3 pbc="T T T"
P 0.000 2.167 0.000
P 2.167 0.000 0.000
Cu 0.000 0.000 0.000
S 0.000 0.000 2.184
Os 2.167 2.167 2.184
```

Output
energy above the lowest structure with this stoichiometry = 2.64 eV per formula unit
DOS(E_F) = 1.02 states/eV per atom
space-group type = No. 123
E = -4.658 eV/atom
formation energy from raw total energies = 1.396 eV per atom
total magnetic moment = 0.00 μB/f.u.

***

Entry 3:
This record from the Alexandria database describes an optimized crystal structure of CuP2OsS. The functional is PBE.

Cell and atoms, written as extended XYZ:
```
5
Lattice="4.413 0.000 0.000 0.000 5.373 0.000 0.000 0.000 4.413" Properties=species:S:1:pos:R:3 pbc="T T T"
Cu 2.206 2.687 2.206
P 0.000 0.000 2.206
P 2.206 0.000 0.000
S 0.000 2.687 0.000
Os 0.000 0.000 0.000
```

Output
energy above the lowest structure with this stoichiometry = 0.00 eV per formula unit
DOS(E_F) = 0.94 states/eV per atom
space-group type = No. 123
E = -5.186 eV/atom
formation energy from raw total energies = 0.869 eV per atom
total magnetic moment = 0.00 μB/f.u.

***

Entry 4:
This record from the Alexandria database describes an optimized crystal structure of CuP2OsSe. The functional is PBE.

Cell and atoms, written as extended XYZ:
```
5
Lattice="-4.193 -0.437 0.485 -0.151 -2.953 -3.961 0.640 -3.375 2.491" Properties=species:S:1:pos:R:3 pbc="T T T"
Se -1.852 -3.382 -0.492
Cu 0.000 0.000 0.000
P 0.320 -1.688 1.246
P -2.097 -0.218 0.243
Os -0.076 -1.476 -1.981
```

Output
DOS(E_F) = 0.99 states/eV per atom
space-group type = No. 123
E = -4.538 eV/atom
formation energy from raw total energies = 1.388 eV per atom
total magnetic moment = 0.00 μB/f.u.